The following is a DFT calculation (PBE with a Hubbard U) of a relaxed MnTl2BiF6 crystal.

Summary:
The magnetization comes out at 6.0 μB per formula unit. Its uncorrected energy is -4.81 eV per atom.

a = 6.223 Å, b = 5.849 Å, c = 11.919 Å
α = 90.00°, β = 116.40°, γ = 90.00°
Space group P2_1/c (No. 14)
Inequivalent atoms, fractional coordinates:
Mn 0.000 0.000 0.000 x2
Tl 0.241 0.038 0.754 x4
Bi 0.500 0.000 0.500 x2
F 0.110 0.616 0.684 x4
F 0.159 0.709 0.953 x4
F 0.333 0.197 0.057 x4